No. 1
Below is a geometry-optimized Li8HgPd2 structure, with properties calculated at the PBE level.

Cell lengths 4.7032, 7.4893, 6.9215 Å; angles 57.25, 79.79, 70.88 degrees
Positions (direct):
Li 0.8978 0.0710 0.2522
Li 0.8978 0.3232 0.7478
Li 0.3069 0.3854 0.0000
Li 0.5000 0.7629 0.4742
Li 0.5000 0.2371 0.5258
Li 0.6931 0.6146 0.0000
Li 0.1022 0.6768 0.2522
Li 0.1022 0.9290 0.7478
Hg 0.5000 0.0000 0.0000
Pd 0.0000 0.3168 0.3663
Pd 0.0000 0.6832 0.6337

Summary:
The energy above the most stable polymorph in this dataset comes out at 79 meV per atom. The value obtained for the uncorrected energy is -2.5804 eV per atom. For the magnetic moment, the calculation gives 0.000 μB per atom. The value obtained for the density of states at the Fermi level is 3.784 states/eV/cell.

---

No. 2
Below is a geometry-optimized Li8Hg2Pd structure, with properties calculated at the PBE level.

Cell lengths 4.5498, 6.4858, 7.5650 Å; angles 115.38, 107.50, 90.00 degrees
Positions (direct):
Li 0.6380 0.8598 0.2760
Li 0.3620 0.5837 0.7240
Li 0.1603 0.1603 0.3206
Li 0.0000 0.2738 0.0000
Li 0.8397 0.8397 0.6794
Li 0.6380 0.4163 0.2760
Li 0.3620 0.1402 0.7240
Li 0.0000 0.7262 0.0000
Hg 0.1941 0.6941 0.3882
Hg 0.8059 0.3059 0.6118
Pd 0.5000 0.0000 0.0000

Summary:
The energy above the most stable polymorph in this dataset comes out at 9 meV per atom. The value obtained for the uncorrected energy is -2.1872 eV per atom. For the magnetic moment, the calculation gives 0.000 μB per atom. The value obtained for the density of states at the Fermi level is 4.326 states/eV/cell.

---

No. 3
Below is a geometry-optimized Li6HgPd12 structure, with properties calculated at the PBE level.

Cell lengths 7.1749, 7.1749, 7.1749 Å; angles 107.71, 107.71, 107.71 degrees
Positions (direct):
Li 0.7981 0.9076 0.5487
Li 0.4513 0.2019 0.0924
Li 0.0924 0.4513 0.2019
Li 0.2019 0.0924 0.4513
Li 0.5487 0.7981 0.9076
Li 0.9076 0.5487 0.7981
Hg 0.0000 0.0000 0.0000
Pd 0.8103 0.4992 0.3995
Pd 0.3995 0.8103 0.4992
Pd 0.4992 0.3995 0.8103
Pd 0.1897 0.5008 0.6005
Pd 0.6005 0.1897 0.5008
Pd 0.5008 0.6005 0.1897
Pd 0.8929 0.7173 0.1755
Pd 0.2827 0.8245 0.1071
Pd 0.8245 0.1071 0.2827
Pd 0.1071 0.2827 0.8245
Pd 0.7173 0.1755 0.8929
Pd 0.1755 0.8929 0.7173

Summary:
The value obtained for the uncorrected energy is -4.0875 eV per atom. For the magnetic moment, the calculation gives 0.000 μB per atom. The value obtained for the density of states at the Fermi level is 13.736 states/eV/cell.

---

No. 4
Below is a geometry-optimized Li2Hg2Pd3 structure, with properties calculated at the PBE level.

Cell lengths 2.9478, 6.7076, 6.6272 Å; angles 115.34, 102.85, 90.00 degrees
Positions (direct):
Li 0.0839 0.4191 0.1678
Li 0.9161 0.5809 0.8322
Hg 0.3720 0.1872 0.7440
Hg 0.6280 0.8128 0.2560
Pd 0.0000 0.0000 0.0000
Pd 0.2926 0.7133 0.5851
Pd 0.7074 0.2867 0.4149

Summary:
The energy above the most stable polymorph in this dataset comes out at 21 meV per atom. The value obtained for the uncorrected energy is -3.1413 eV per atom. For the magnetic moment, the calculation gives 0.000 μB per atom. The value obtained for the density of states at the Fermi level is 2.025 states/eV/cell.

---

No. 5
Below is a geometry-optimized Li2HgPd structure, with properties calculated at the PBE level.

Cell lengths 3.0158, 3.0158, 8.7803 Å; angles 80.11, 80.11, 60.00 degrees
Positions (direct):
Li 0.0749 0.0749 0.7753
Li 0.2584 0.2584 0.2248
Hg 0.5002 0.5002 0.4993
Pd 0.6665 0.6665 0.0006

Summary:
The value obtained for the uncorrected energy is -2.6091 eV per atom. For the magnetic moment, the calculation gives 0.000 μB per atom. The value obtained for the density of states at the Fermi level is 1.596 states/eV/cell.

---

No. 6
Below is a geometry-optimized Li12HgPd6 structure, with properties calculated at the PBE level.

Cell lengths 6.8154, 7.2683, 7.2683 Å; angles 69.30, 71.79, 108.21 degrees
Positions (direct):
Li 0.5127 0.8405 0.2860
Li 0.6722 0.8735 0.8405
Li 0.7987 0.2860 0.8735
Li 0.4873 0.1595 0.7140
Li 0.3278 0.1265 0.1595
Li 0.2013 0.7140 0.1265
Li 0.2614 0.4444 0.6242
Li 0.1143 0.3758 0.0686
Li 0.1829 0.0686 0.5556
Li 0.7386 0.5556 0.3758
Li 0.8857 0.6242 0.9314
Li 0.8171 0.9314 0.4444
Hg 0.0000 0.0000 0.0000
Pd 0.4391 0.4878 0.2122
Pd 0.0487 0.7001 0.5122
Pd 0.3487 0.7878 0.7001
Pd 0.5609 0.5122 0.7878
Pd 0.9513 0.2999 0.4878
Pd 0.6513 0.2122 0.2999

Summary:
The energy above the most stable polymorph in this dataset comes out at 0 meV per atom. The value obtained for the uncorrected energy is -3.2144 eV per atom. For the magnetic moment, the calculation gives 0.000 μB per atom. The value obtained for the density of states at the Fermi level is 6.660 states/eV/cell.

---

No. 7
Below is a geometry-optimized Li5Hg8Pd structure, with properties calculated at the PBE level.

Cell lengths 7.1917, 7.1917, 7.1917 Å; angles 109.36, 109.69, 109.36 degrees
Positions (direct):
Li 0.0001 0.3522 0.1095
Li 0.8905 0.8907 0.2427
Li 0.7573 0.6478 0.6479
Li 0.5000 0.0000 0.5000
Li 0.3521 0.1093 0.9999
Hg 0.1204 0.7361 0.0382
Hg 0.9618 0.0822 0.6980
Hg 0.7752 0.2606 0.3779
Hg 0.6221 0.3972 0.8827
Hg 0.4855 0.6028 0.2248
Hg 0.6157 0.9178 0.8796
Hg 0.3020 0.2639 0.3843
Hg 0.1173 0.7394 0.5145
Pd 0.2500 0.5000 0.7500

Summary:
The value obtained for the uncorrected energy is -1.4649 eV per atom. For the magnetic moment, the calculation gives 0.000 μB per atom. The value obtained for the density of states at the Fermi level is 4.801 states/eV/cell.

---

No. 8
Below is a geometry-optimized Li7HgPd3 structure, with properties calculated at the PBE level.

Cell lengths 2.8280, 10.8777, 11.9473 Å; angles 90.00, 90.00, 97.47 degrees
Positions (direct):
Li 0.3114 0.6227 0.7500
Li 0.6886 0.3773 0.2500
Li 0.5633 0.1266 0.3729
Li 0.4367 0.8734 0.6271
Li 0.4367 0.8734 0.8729
Li 0.5633 0.1266 0.1271
Li 0.3977 0.7955 0.4039
Li 0.6023 0.2045 0.5961
Li 0.2765 0.5529 0.4034
Li 0.7235 0.4471 0.5966
Li 0.7235 0.4471 0.9034
Li 0.2765 0.5529 0.0966
Li 0.3977 0.7955 0.0961
Li 0.6023 0.2045 0.9039
Hg 0.9723 0.9445 0.2500
Hg 0.0277 0.0555 0.7500
Pd 0.1590 0.3181 0.4392
Pd 0.8410 0.6819 0.5608
Pd 0.1637 0.3275 0.7500
Pd 0.8363 0.6725 0.2500
Pd 0.1590 0.3181 0.0608
Pd 0.8410 0.6819 0.9392

Summary:
The energy above the most stable polymorph in this dataset comes out at 0 meV per atom. The value obtained for the uncorrected energy is -2.9853 eV per atom. For the magnetic moment, the calculation gives 0.000 μB per atom. The value obtained for the density of states at the Fermi level is 6.387 states/eV/cell.

---

No. 9
Below is a geometry-optimized Li4Hg3Pd2 structure, with properties calculated at the PBE level.

Cell lengths 4.0276, 6.4173, 6.5357 Å; angles 107.27, 107.95, 90.00 degrees
Positions (direct):
Li 0.5490 0.3152 0.0981
Li 0.7806 0.7010 0.5612
Li 0.4510 0.6848 0.9019
Li 0.2194 0.2990 0.4388
Hg 0.8750 0.3506 0.7501
Hg 0.1250 0.6494 0.2499
Hg 0.0000 0.0000 0.0000
Pd 0.3353 0.0026 0.6706
Pd 0.6647 0.9974 0.3294

Summary:
The energy above the most stable polymorph in this dataset comes out at 15 meV per atom. The value obtained for the uncorrected energy is -2.4720 eV per atom. For the magnetic moment, the calculation gives 0.000 μB per atom. The value obtained for the density of states at the Fermi level is 3.008 states/eV/cell.

---

No. 10
Below is a geometry-optimized Li4Hg3Pd structure, with properties calculated at the PBE level.

Cell lengths 4.6407, 4.6407, 7.0810 Å; angles 109.03, 109.03, 90.19 degrees
Positions (direct):
Hg 0.0000 0.5000 0.0000
Hg 0.7380 0.2381 0.4769
Hg 0.2620 0.7619 0.5231
Pd 0.5000 0.0000 0.0000
Li 0.3833 0.3834 0.7660
Li 0.6167 0.6166 0.2340
Li 0.1166 0.1167 0.2340
Li 0.8834 0.8833 0.7660

Summary:
The energy above the most stable polymorph in this dataset comes out at 0 meV per atom. The value obtained for the uncorrected energy is -2.1080 eV per atom. For the magnetic moment, the calculation gives 0.000 μB per atom. The value obtained for the density of states at the Fermi level is 2.143 states/eV/cell.

---

No. 11
Below is a geometry-optimized Li2Hg4Pd5 structure, with properties calculated at the PBE level.

Cell lengths 2.9452, 7.2731, 10.1218 Å; angles 111.06, 98.37, 90.00 degrees
Positions (direct):
Li 0.5969 0.5969 0.1938
Li 0.4031 0.4031 0.8062
Hg 0.7309 0.7309 0.4618
Hg 0.0000 0.3068 0.0000
Hg 0.2691 0.2691 0.5382
Hg 0.0000 0.6932 0.0000
Pd 0.1420 0.3420 0.2840
Pd 0.8580 0.6580 0.7160
Pd 0.1420 0.9421 0.2840
Pd 0.5000 0.0000 0.0000
Pd 0.8580 0.0579 0.7160

Summary:
The value obtained for the uncorrected energy is -2.8453 eV per atom. For the magnetic moment, the calculation gives 0.000 μB per atom. The value obtained for the density of states at the Fermi level is 3.979 states/eV/cell.

---

No. 12
Below is a geometry-optimized LiHg5Pd structure, with properties calculated at the PBE level.

Cell lengths 4.7579, 4.7579, 7.0303 Å; angles 90.00, 90.00, 90.00 degrees
Positions (direct):
Li 0.0000 0.0000 0.0000
Hg 0.5000 0.0000 0.7203
Hg 0.0000 0.5000 0.7203
Hg 0.5000 0.5000 0.0000
Hg 0.0000 0.5000 0.2797
Hg 0.5000 0.0000 0.2797
Pd 0.0000 0.0000 0.5000

Summary:
The value obtained for the uncorrected energy is -1.3623 eV per atom. For the magnetic moment, the calculation gives 0.000 μB per atom. The value obtained for the density of states at the Fermi level is 2.535 states/eV/cell.

---

No. 13
Below is a geometry-optimized LiHg2Pd6 structure, with properties calculated at the PBE level.

Cell lengths 4.9046, 9.2251, 7.7057 Å; angles 120.30, 101.23, 80.38 degrees
Positions (direct):
Li 0.2500 0.2500 0.7500
Li 0.7500 0.7500 0.2500
Hg 0.4910 0.6925 0.8707
Hg 0.9909 0.1926 0.3707
Hg 0.5090 0.3075 0.1293
Hg 0.0091 0.8074 0.6293
Pd 0.5151 0.6388 0.4668
Pd 0.0159 0.4727 0.3022
Pd 0.4849 0.3612 0.5332
Pd 0.9841 0.5273 0.6978
Pd 0.2578 0.9142 0.4148
Pd 0.2422 0.5858 0.0852
Pd 0.7422 0.0858 0.5852
Pd 0.7578 0.4142 0.9148
Pd 0.9849 0.8612 0.0332
Pd 0.4841 0.0273 0.1978
Pd 0.0151 0.1388 0.9668
Pd 0.5159 0.9727 0.8022

Summary:
The energy above the most stable polymorph in this dataset comes out at 0 meV per atom. The value obtained for the uncorrected energy is -3.9379 eV per atom. For the magnetic moment, the calculation gives 0.000 μB per atom. The value obtained for the density of states at the Fermi level is 14.314 states/eV/cell.

---

No. 14
Below is a geometry-optimized Li2Hg3Pd2 structure, with properties calculated at the PBE level.

Cell lengths 3.0507, 4.9277, 9.1219 Å; angles 80.41, 80.37, 71.97 degrees
Positions (direct):
Li 0.5421 0.6789 0.2370
Li 0.4579 0.3211 0.7630
Hg 0.0000 0.5000 0.5000
Hg 0.3293 0.2434 0.0979
Hg 0.6707 0.7566 0.9021
Pd 0.7743 0.0859 0.3654
Pd 0.2257 0.9141 0.6346

Summary:
The energy above the most stable polymorph in this dataset comes out at 0 meV per atom. The value obtained for the uncorrected energy is -2.4420 eV per atom. For the magnetic moment, the calculation gives 0.000 μB per atom. The value obtained for the density of states at the Fermi level is 2.883 states/eV/cell.

---

No. 15
Below is a geometry-optimized LiHg2Pd2 structure, with properties calculated at the PBE level.

Cell lengths 4.6010, 4.9721, 8.0088 Å; angles 90.00, 106.69, 90.00 degrees
Positions (direct):
Li 0.3619 0.9956 0.7238
Li 0.6381 0.4956 0.2762
Hg 0.4433 0.5091 0.8866
Hg 0.7652 0.8840 0.5303
Hg 0.2348 0.3840 0.4697
Hg 0.5567 0.0091 0.1134
Pd 0.9543 0.8702 0.9085
Pd 0.8500 0.3755 0.7000
Pd 0.1500 0.8755 0.3000
Pd 0.0457 0.3702 0.0915

Summary:
The energy above the most stable polymorph in this dataset comes out at 2 meV per atom. The value obtained for the uncorrected energy is -2.8618 eV per atom. For the magnetic moment, the calculation gives 0.000 μB per atom. The value obtained for the density of states at the Fermi level is 3.654 states/eV/cell.

---

No. 16
Below is a geometry-optimized LiHg4Pd4 structure, with properties calculated at the PBE level.

Cell lengths 6.2760, 6.2760, 6.2760 Å; angles 106.57, 110.94, 110.94 degrees
Positions (direct):
Li 0.0000 0.0000 0.0000
Hg 0.5000 0.5000 0.0000
Hg 0.5000 0.0000 0.5000
Hg 0.0000 0.6766 0.6766
Hg 0.0000 0.3234 0.3234
Pd 0.5187 0.9439 0.9439
Pd 0.0000 0.0561 0.5748
Pd 0.4813 0.4252 0.4252
Pd 0.0000 0.5748 0.0561

Summary:
The value obtained for the uncorrected energy is -2.4983 eV per atom. For the magnetic moment, the calculation gives 0.000 μB per atom. The value obtained for the density of states at the Fermi level is 2.878 states/eV/cell.

---

No. 17
Below is a geometry-optimized Li6Hg5Pd structure, with properties calculated at the PBE level.

Cell lengths 4.4829, 6.8720, 7.9168 Å; angles 115.72, 106.45, 90.00 degrees
Positions (direct):
Hg 0.6597 0.1597 0.3193
Hg 0.3294 0.3294 0.6588
Hg 0.0000 0.5000 0.0000
Hg 0.6706 0.6706 0.3412
Hg 0.3403 0.8404 0.6807
Pd 0.0000 0.0000 0.0000
Li 0.8389 0.5952 0.6776
Li 0.8386 0.0824 0.6776
Li 0.5001 0.7582 0.0000
Li 0.4999 0.2418 0.0000
Li 0.1614 0.9176 0.3224
Li 0.1611 0.4048 0.3224

Summary:
The value obtained for the uncorrected energy is -1.8929 eV per atom. For the magnetic moment, the calculation gives 0.000 μB per atom. The value obtained for the density of states at the Fermi level is 2.438 states/eV/cell.

---

No. 18
Below is a geometry-optimized Li4HgPd structure, with properties calculated at the PBE level.

Cell lengths 5.0190, 5.0190, 5.0190 Å; angles 60.00, 60.00, 60.00 degrees
Positions (direct):
Hg 0.2500 0.2500 0.2500
Pd 0.0000 0.0000 0.0000
Li 0.6258 0.6258 0.1225
Li 0.6258 0.1225 0.6258
Li 0.6258 0.6258 0.6258
Li 0.1225 0.6258 0.6258

Summary:
The energy above the most stable polymorph in this dataset comes out at 156 meV per atom. The value obtained for the uncorrected energy is -2.3676 eV per atom. For the magnetic moment, the calculation gives 0.000 μB per atom. The value obtained for the density of states at the Fermi level is 1.556 states/eV/cell.

---

No. 19
Below is a geometry-optimized Li7HgPd12 structure, with properties calculated at the PBE level.

Cell lengths 6.8683, 6.8683, 6.8683 Å; angles 89.88, 89.88, 89.88 degrees
Positions (direct):
Li 0.8348 0.6007 0.9804
Li 0.3993 0.0196 0.1652
Li 0.0196 0.1652 0.3993
Li 0.5000 0.5000 0.5000
Li 0.9804 0.8348 0.6007
Li 0.6007 0.9804 0.8348
Li 0.1652 0.3993 0.0196
Hg 0.0000 0.0000 0.0000
Pd 0.8731 0.2867 0.7509
Pd 0.7133 0.2491 0.1269
Pd 0.6000 0.1652 0.5019
Pd 0.8348 0.4981 0.4000
Pd 0.2491 0.1269 0.7133
Pd 0.4981 0.4000 0.8348
Pd 0.5019 0.6000 0.1652
Pd 0.7509 0.8731 0.2867
Pd 0.1652 0.5019 0.6000
Pd 0.4000 0.8348 0.4981
Pd 0.2867 0.7509 0.8731
Pd 0.1269 0.7133 0.2491

Summary:
The value obtained for the uncorrected energy is -4.0391 eV per atom. For the magnetic moment, the calculation gives 0.000 μB per atom. The value obtained for the density of states at the Fermi level is 16.422 states/eV/cell.

---

No. 20
Below is a geometry-optimized LiHg2Pd2 structure, with properties calculated at the PBE level.

Cell lengths 5.5909, 5.5909, 7.3774 Å; angles 70.24, 70.24, 54.93 degrees
Positions (direct):
Li 0.2985 0.7015 0.2500
Li 0.7015 0.2985 0.7500
Hg 0.4684 0.1744 0.1425
Hg 0.8256 0.5316 0.3575
Hg 0.5316 0.8256 0.8575
Hg 0.1744 0.4684 0.6425
Pd 0.7447 0.0433 0.4578
Pd 0.9567 0.2553 0.0422
Pd 0.2553 0.9567 0.5422
Pd 0.0433 0.7447 0.9578

Summary:
The energy above the most stable polymorph in this dataset comes out at 0 meV per atom. The value obtained for the uncorrected energy is -2.8642 eV per atom. For the magnetic moment, the calculation gives 0.000 μB per atom. The value obtained for the density of states at the Fermi level is 3.024 states/eV/cell.